A plane-wave DFT calculation with GGA-PBE was carried out for a relaxed structure of DyCoB2Os.

Total magnetic moment (μB/atom): 0.000
Space-group type: I-4m2
E_form (kJ/mol of formula units): -241

Cell: 3.768 3.768 5.430 Å, 110.30 110.30 90.00°
Sites, in units of the cell vectors:
Dy1 0.000 0.000 0.000
Co1 0.250 0.750 0.500
B1 0.658 0.658 0.315
B2 0.342 0.342 0.685
Os1 0.750 0.250 0.500